# 1
Material: AcGaAgSn
Method: DFT, PBE-GGA
State: optimized geometry

Computed properties:
Energy of formation: -125 kJ/mol of formula units

a b c (Å): 7.445 7.445 7.445
angles (deg): 90.00 90.00 90.00
Space group F-43m (No. 216)
One atom of each set of equivalent atoms:
Ac1 0.000 0.000 0.000 x4
Ga1 0.250 0.250 0.250 x4
Ag1 0.250 0.250 0.750 x4
Sn1 0.000 0.000 0.500 x4

=====

# 2
Material: Ac2GaAg3Sn4
Method: DFT, PBE-GGA
State: optimized geometry

Computed properties:
Energy of formation: -400 kJ/mol of formula units

a b c (Å): 4.822 4.822 11.263
angles (deg): 90.00 90.00 90.00
Space group P-4m2 (No. 115)
One atom of each set of equivalent atoms:
Ac1 0.000 0.500 0.244 x2
Ga1 0.500 0.500 0.000 x1
Ag1 0.000 0.000 0.000 x1
Ag2 0.000 0.500 0.634 x2
Sn1 0.000 0.000 0.500 x1
Sn2 0.000 0.500 0.872 x2
Sn3 0.500 0.500 0.500 x1

=====

# 3
Material: Ac2GaAgSn6
Method: DFT, PBE-GGA
State: optimized geometry

Computed properties:
Energy of formation: -214 kJ/mol of formula units

a b c (Å): 6.480 9.269 10.103
angles (deg): 90.00 90.00 90.00
Space group Pmmn (No. 59, origin choice 2)
One atom of each set of equivalent atoms:
Ac1 0.250 0.003 0.231 x4
Ga1 0.250 0.250 0.807 x2
Ag1 0.250 0.750 0.757 x2
Sn1 0.007 0.750 0.505 x4
Sn2 0.017 0.750 0.989 x4
Sn3 0.250 0.024 0.635 x4

=====

# 4
Material: Ac2GaAgTe5
Method: DFT, PBE-GGA
State: optimized geometry

Computed properties:
Formation energy (no corrections): -8.77 eV per formula unit

a b c (Å): 4.462 20.388 13.025
angles (deg): 90.00 90.00 90.00
Space group Cmc2_1 (No. 36)
One atom of each set of equivalent atoms:
Ac1 0.000 0.119 0.000 x4
Ac2 0.000 0.127 0.613 x4
Ga1 0.000 0.429 0.770 x4
Ag1 0.000 0.227 0.343 x4
Te1 0.000 0.040 0.380 x4
Te2 0.000 0.287 0.984 x4
Te3 0.000 0.314 0.674 x4
Te4 0.000 0.364 0.308 x4
Te5 0.000 0.497 0.593 x4

=====

# 5
Material: AcThGaAg
Method: DFT, PBE-GGA
State: optimized geometry

Computed properties:
Energy of formation: -85 kJ/mol of formula units

a b c (Å): 7.652 7.652 7.652
angles (deg): 90.00 90.00 90.00
Space group F-43m (No. 216)
One atom of each set of equivalent atoms:
Ac1 0.000 0.000 0.000 x4
Th1 0.000 0.000 0.500 x4
Ga1 0.250 0.250 0.250 x4
Ag1 0.250 0.250 0.750 x4

=====

# 6
Material: AcTlGaAg
Method: DFT, PBE-GGA
State: optimized geometry

Computed properties:
Energy of formation: -97 kJ/mol of formula units

a b c (Å): 7.490 7.490 7.490
angles (deg): 90.00 90.00 90.00
Space group F-43m (No. 216)
One atom of each set of equivalent atoms:
Ac1 0.000 0.000 0.000 x4
Tl1 0.000 0.000 0.500 x4
Ga1 0.250 0.250 0.750 x4
Ag1 0.250 0.250 0.250 x4

=====

# 7
Material: Ac4TlGaAg2
Method: DFT, PBE-GGA
State: optimized geometry

Computed properties:
Energy of formation: -261 kJ/mol of formula units

a b c (Å): 5.6520 5.6520 27.7706
angles (deg): 90.00 90.00 120.00
Space group R-3m (No. 166, hexagonal axes)
One atom of each set of equivalent atoms:
Ac1 0.0000 0.0000 0.1210 x6
Ac2 0.0000 0.0000 0.3712 x6
Tl1 0.0000 0.0000 0.5000 x3
Ga1 0.0000 0.0000 0.0000 x3
Ag1 0.0000 0.0000 0.2472 x6

=====

# 8
Material: Ac2Zn3GaAg4
Method: DFT, PBE-GGA
State: optimized geometry

Computed properties:
Energy of formation: -261 kJ/mol of formula units

a b c (Å): 4.533 4.533 10.997
angles (deg): 90.00 90.00 90.00
Space group P-4m2 (No. 115)
One atom of each set of equivalent atoms:
Ac1 0.000 0.500 0.241 x2
Zn1 0.000 0.000 0.000 x1
Zn2 0.000 0.500 0.631 x2
Ga1 0.500 0.500 0.000 x1
Ag1 0.000 0.000 0.500 x1
Ag2 0.000 0.500 0.870 x2
Ag3 0.500 0.500 0.500 x1

=====

N(E_F) (computed, states/eV per atom): 0.620, 0.299, 0.477, 0.029, 1.097, 0.395, 0.857, 0.653
Energy (computed, eV/atom): -3.82, -4.00, -4.03, -4.29, -4.57, -3.34, -3.78, -2.92
M_tot (computed, μB per cell): 0.00, 0.00, 0.00, 0.00, 0.01, 0.00, 0.00, 0.00